(1)
Pa2PRu6 PBE optimized geometry; uncorrected energy = -9.469 eV/atom; ΔH_f (0 K) = -0.574 eV per atom; total magnetic moment = 0.00 μB per cell; SG = Fm-3m, No. 225; calculated volume = 149 Å³ per cell
1.0
0.000 4.204 4.204
4.204 0.000 4.204
4.204 4.204 0.000
Pa P Ru
2 1 6
direct
0.250 0.250 0.250
0.750 0.750 0.750
0.000 0.000 0.000
0.265 0.265 0.735
0.265 0.735 0.265
0.265 0.735 0.735
0.735 0.265 0.265
0.735 0.265 0.735
0.735 0.735 0.265

=====

(2)
Pa2P4Ru3 PBE optimized geometry; uncorrected energy = -8.496 eV/atom; ΔH_f (0 K) = -0.889 eV per atom; total magnetic moment = 0.00 μB per cell; SG = Cmce, No. 64; calculated volume = 287 Å³ per cell
1.0
2.829 -7.083 0.000
2.829 7.083 0.000
0.000 0.000 7.155
Pa P Ru
4 8 6
direct
0.111 0.889 0.918
0.389 0.611 0.418
0.611 0.389 0.582
0.889 0.111 0.082
0.182 0.818 0.535
0.200 0.300 0.750
0.300 0.200 0.250
0.318 0.682 0.035
0.682 0.318 0.965
0.700 0.800 0.750
0.800 0.700 0.250
0.818 0.182 0.465
0.000 0.000 0.500
0.032 0.468 0.750
0.468 0.032 0.250
0.500 0.500 0.000
0.532 0.968 0.750
0.968 0.532 0.250

=====

(3)
PaP2Ru4 PBE optimized geometry; uncorrected energy = -8.811 eV/atom; ΔH_f (0 K) = -0.608 eV per atom; total magnetic moment = 0.00 μB per cell; SG = Cmmm, No. 65; calculated volume = 108 Å³ per cell; distance to the lowest polymorph of the same formula = 4.9 kJ per mole of atoms
1.0
2.034 -6.529 0.000
2.034 6.529 0.000
0.000 0.000 4.049
Pa P Ru
1 2 4
direct
0.000 0.000 0.000
0.411 0.589 0.500
0.589 0.411 0.500
0.175 0.825 0.500
0.324 0.676 0.000
0.676 0.324 0.000
0.825 0.175 0.500

=====

(4)
PaPRu PBE optimized geometry; uncorrected energy = -8.341 eV/atom; ΔH_f (0 K) = -0.281 eV per atom; total magnetic moment = 0.00 μB per cell; SG = I4mm, No. 107; calculated volume = 61 Å³ per cell
1.0
-2.056 2.056 3.623
2.056 -2.056 3.623
2.056 2.056 -3.623
Pa P Ru
1 1 1
direct
0.000 0.000 0.000
0.634 0.634 0.000
0.318 0.318 0.000

=====

(5)
PaP2Ru4 PBE optimized geometry; uncorrected energy = -8.861 eV/atom; ΔH_f (0 K) = -0.658 eV per atom; total magnetic moment = 0.00 μB per cell; SG = Pnma, No. 62; calculated volume = 421 Å³ per cell; distance to the lowest polymorph of the same formula = 0.0 kJ per mole of atoms
1.0
16.239 0.000 0.000
0.000 3.948 0.000
0.000 0.000 6.566
Pa P Ru
4 8 16
direct
0.136 0.250 0.014
0.364 0.750 0.514
0.636 0.250 0.486
0.864 0.750 0.986
0.042 0.750 0.267
0.224 0.250 0.525
0.276 0.750 0.025
0.458 0.250 0.767
0.542 0.750 0.233
0.724 0.250 0.975
0.776 0.750 0.475
0.958 0.250 0.733
0.028 0.750 0.843
0.077 0.250 0.527
0.186 0.750 0.318
0.190 0.750 0.730
0.310 0.250 0.230
0.314 0.250 0.818
0.423 0.750 0.027
0.472 0.250 0.343
0.528 0.750 0.657
0.577 0.250 0.973
0.686 0.750 0.182
0.690 0.750 0.770
0.810 0.250 0.270
0.814 0.250 0.682
0.923 0.750 0.473
0.972 0.250 0.157

=====

(6)
PaP2Ru PBE optimized geometry; uncorrected energy = -8.254 eV/atom; ΔH_f (0 K) = -0.856 eV per atom; total magnetic moment = 0.00 μB per cell; SG = I-4m2, No. 119; calculated volume = 73 Å³ per cell; distance to the lowest polymorph of the same formula = 9.8 kJ per mole of atoms
1.0
-1.952 1.952 4.776
1.952 -1.952 4.776
1.952 1.952 -4.776
Pa P Ru
1 2 1
direct
0.000 0.000 0.000
0.380 0.380 0.000
0.620 0.620 0.000
0.250 0.750 0.500

=====

> ΔH_f (0 K) of number 1 (Pa2PRu6)?

-0.574 eV per atom